VASP calculation (PBE) on a relaxed structure of Pm4Dy6Sc.

Cell and atoms, written as POSCAR:
```
Pm4Dy6Sc
1.0
2.856 -4.801 0.000
2.856 4.801 0.000
0.000 0.000 25.665
Pm Dy Sc
8 12 2
direct
0.033 0.967 0.622
0.033 0.967 0.878
0.346 0.654 0.546
0.346 0.654 0.954
0.654 0.346 0.046
0.654 0.346 0.454
0.967 0.033 0.122
0.967 0.033 0.378
0.000 0.000 0.000
0.000 0.000 0.500
0.024 0.976 0.750
0.307 0.693 0.110
0.307 0.693 0.390
0.360 0.640 0.684
0.360 0.640 0.816
0.640 0.360 0.184
0.640 0.360 0.316
0.693 0.307 0.610
0.693 0.307 0.890
0.976 0.024 0.250
0.311 0.689 0.250
0.689 0.311 0.750
```

Properties
SG: No. 63
DFT formation energy in meV per atom: 133